First-principles (PBEsol) data for LiAlTc after structural relaxation, as listed in the Alexandria database.

Cell: 6.7012 6.7012 6.7012 Å, 157.54 157.54 31.98°
Element x y z (fractional)
1 Li 0.0000 0.0000 0.0000
2 Al 0.3239 0.3239 0.0000
3 Tc 0.6707 0.6707 0.0000

Calculated values
**Formation energy from the elements**: 90 meV/atom
**M_tot**: 0.0 Bohr magnetons per cell
**SG**: I4mm


First-principles (PBEsol) data for LiAlTc2 after structural relaxation, as listed in the Alexandria database.

Cell: 2.5922 2.5922 8.6493 Å, 90.00 90.00 105.89°
Element x y z (fractional)
1 Li 0.0000 0.0000 0.0000
2 Al 0.0000 0.0000 0.5000
3 Tc 0.5000 0.5000 0.2606
4 Tc 0.5000 0.5000 0.7394

Calculated values
**Formation energy from the elements**: 107 meV/atom
**M_tot**: 0.0 Bohr magnetons per cell
**SG**: Cmmm


First-principles (PBEsol) data for LiAlTc2 after structural relaxation, as listed in the Alexandria database.

Cell: 2.6267 4.2445 4.9436 Å, 90.00 97.63 90.00°
Element x y z (fractional)
1 Li 0.0000 0.0000 0.0000
2 Al 0.1581 0.5000 0.7548
3 Tc 0.5151 0.0000 0.4856
4 Tc 0.6899 0.5000 0.2508

Calculated values
**Formation energy from the elements**: 5 meV/atom
**M_tot**: 0.0 Bohr magnetons per cell
**SG**: Pm


First-principles (PBEsol) data for LiAlTc3 after structural relaxation, as listed in the Alexandria database.

Cell: 4.4474 4.4474 4.4474 Å, 90.00 90.00 90.00°
Element x y z (fractional)
1 Li 0.0000 0.0000 0.0000
2 Al 0.5000 0.5000 0.5000
3 Tc 0.0000 0.5000 0.5000
4 Tc 0.5000 0.0000 0.5000
5 Tc 0.5000 0.5000 0.0000

Calculated values
**Formation energy from the elements**: 1637 meV/atom
**M_tot**: 0.0 Bohr magnetons per cell
**SG**: Pm-3m


First-principles (PBEsol) data for LiAlTc2 after structural relaxation, as listed in the Alexandria database.

Cell: 4.2142 4.2142 4.2142 Å, 60.00 60.00 60.00°
Element x y z (fractional)
1 Li 0.0000 0.0000 0.0000
2 Al 0.7500 0.7500 0.7500
3 Tc 0.2500 0.2500 0.2500
4 Tc 0.5000 0.5000 0.5000

Calculated values
**Formation energy from the elements**: -202 meV/atom
**M_tot**: 0.0 Bohr magnetons per cell
**SG**: F-43m


First-principles (PBEsol) data for LiYAlTc2 after structural relaxation, as listed in the Alexandria database.

Cell: 4.5290 4.5290 5.2032 Å, 90.00 90.00 90.00°
Element x y z (fractional)
1 Li 0.0000 0.0000 0.0000
2 Y 0.5000 0.5000 0.0000
3 Al 0.5000 0.5000 0.5000
4 Tc 0.0000 0.5000 0.5000
5 Tc 0.5000 0.0000 0.5000

Calculated values
**Formation energy from the elements**: 1129 meV/atom
**M_tot**: 0.0 Bohr magnetons per cell
**SG**: P4/mmm


First-principles (PBEsol) data for Li2AlTe after structural relaxation, as listed in the Alexandria database.

Cell: 4.8386 4.8386 4.8386 Å, 60.00 60.00 60.00°
Element x y z (fractional)
1 Li 0.2500 0.2500 0.2500
2 Li 0.7500 0.7500 0.7500
3 Al 0.0000 0.0000 0.0000
4 Te 0.5000 0.5000 0.5000

Calculated values
**Formation energy without anion corrections**: -270 meV/atom
**M_tot**: 0.0 Bohr magnetons per cell
**SG**: Fm-3m


First-principles (PBEsol) data for Li2AlTe after structural relaxation, as listed in the Alexandria database.

Cell: 4.9526 4.9526 4.9526 Å, 60.00 60.00 60.00°
Element x y z (fractional)
1 Li 0.0000 0.0000 0.0000
2 Li 0.2500 0.2500 0.2500
3 Al 0.7500 0.7500 0.7500
4 Te 0.5000 0.5000 0.5000

Calculated values
**Formation energy without anion corrections**: -116 meV/atom
**M_tot**: 0.0 Bohr magnetons per cell
**SG**: F-43m


First-principles (PBEsol) data for Li2AlTe after structural relaxation, as listed in the Alexandria database.

Cell: 9.1030 9.1030 9.1030 Å, 20.54 20.54 20.54°
Element x y z (fractional)
1 Li 0.2482 0.2482 0.2482
2 Li 0.7518 0.7518 0.7518
3 Al 0.0000 0.0000 0.0000
4 Te 0.5000 0.5000 0.5000

Calculated values
**Formation energy without anion corrections**: -181 meV/atom
**M_tot**: 0.0 Bohr magnetons per cell
**SG**: R-3m


First-principles (PBEsol) data for Li2AlTe after structural relaxation, as listed in the Alexandria database.

Cell: 4.3740 4.3740 4.0780 Å, 90.00 90.00 90.00°
Element x y z (fractional)
1 Li 0.0000 0.5000 0.0000
2 Li 0.5000 0.0000 0.0000
3 Al 0.0000 0.0000 0.5000
4 Te 0.5000 0.5000 0.5000

Calculated values
**Formation energy without anion corrections**: -404 meV/atom
**M_tot**: 0.0 Bohr magnetons per cell
**SG**: P4/mmm


First-principles (PBEsol) data for LiTi3Al after structural relaxation, as listed in the Alexandria database.

Cell: 4.7749 4.7749 4.7749 Å, 90.00 90.00 90.00°
Element x y z (fractional)
1 Li 0.0000 0.0000 0.0000
2 Ti 0.0000 0.5000 0.5000
3 Ti 0.5000 0.0000 0.5000
4 Ti 0.5000 0.5000 0.0000
5 Al 0.5000 0.5000 0.5000

Calculated values
**Formation energy from the elements**: 975 meV/atom
**M_tot**: 1.8 Bohr magnetons per cell
**SG**: Pm-3m


First-principles (PBEsol) data for Li2TiAl2 after structural relaxation, as listed in the Alexandria database.

Cell: 7.4871 7.4871 2.7488 Å, 90.00 90.00 90.00°
Element x y z (fractional)
1 Li 0.1649 0.3351 0.0000
2 Li 0.3351 0.8351 0.0000
3 Li 0.6649 0.1649 0.0000
4 Li 0.8351 0.6649 0.0000
5 Ti 0.0000 0.0000 0.5000
6 Ti 0.5000 0.5000 0.5000
7 Al 0.1344 0.6344 0.5000
8 Al 0.3656 0.1344 0.5000
9 Al 0.6344 0.8656 0.5000
10 Al 0.8656 0.3656 0.5000

Calculated values
**Formation energy from the elements**: 60 meV/atom
**M_tot**: 0.0 Bohr magnetons per cell
**SG**: P4/mbm